Entry 1:
A relaxed structure of Mg6ZrZn, computed with PBE.

Structure (POSCAR):
```
Mg6ZrZn
1.0
3.122 -5.605 0.000
3.122 5.605 0.000
0.000 0.000 4.915
Mg Zr Zn
6 1 1
direct
0.663 0.824 0.000
0.176 0.337 0.000
0.676 0.324 0.000
0.831 0.676 0.500
0.324 0.169 0.500
0.833 0.167 0.500
0.319 0.681 0.500
0.178 0.822 0.000
```

Properties
Calculated volume (Å³/cell): 172

=====

Entry 2:
A relaxed structure of MgZr6Zn2, computed with PBE.

Structure (POSCAR):
```
MgZr6Zn2
1.0
-0.953 1.403 -2.735
-1.394 -4.522 -3.728
-10.494 -1.644 0.920
Mg Zr Zn
1 6 2
direct
0.000 0.000 0.000
0.679 0.521 0.121
0.321 0.479 0.879
0.313 0.779 0.595
0.974 0.702 0.349
0.026 0.298 0.651
0.687 0.221 0.405
0.362 0.089 0.188
0.638 0.911 0.812
```

Properties
Calculated volume (Å³/cell): 190

=====

Entry 3:
A relaxed structure of MgZrZn3, computed with PBE.

Structure (POSCAR):
```
MgZrZn3
1.0
4.375 0.000 0.000
0.000 3.169 0.000
0.000 -1.585 12.790
Mg Zr Zn
2 2 6
direct
0.250 0.785 0.569
0.750 0.215 0.431
0.250 0.072 0.144
0.750 0.928 0.856
0.250 0.378 0.755
0.750 0.622 0.245
0.250 0.476 0.951
0.750 0.524 0.049
0.750 0.327 0.654
0.250 0.673 0.346
```

Properties
Calculated volume (Å³/cell): 177

=====

Entry 4:
A relaxed structure of Mg2ZrZn2, computed with PBE.

Structure (POSCAR):
```
Mg2ZrZn2
1.0
-1.936 5.139 -5.592
-4.618 -5.378 -3.343
-2.367 0.969 1.710
Zn Mg Zr
4 4 2
direct
0.373 0.873 0.000
0.873 0.627 0.000
0.627 0.127 0.000
0.127 0.373 0.000
0.171 0.671 0.500
0.671 0.829 0.500
0.829 0.329 0.500
0.329 0.171 0.500
0.000 0.000 0.000
0.500 0.500 0.000
```

Properties
Calculated volume (Å³/cell): 189

=====

Entry 5:
A relaxed structure of Mg2ZrZn, computed with PBE.

Structure (POSCAR):
```
Mg2ZrZn
1.0
5.680 -0.006 0.000
-2.521 5.090 0.000
0.000 0.000 2.874
Mg Zn Zr
2 1 1
direct
0.000 0.000 0.000
0.500 0.500 0.000
0.500 0.000 0.500
0.000 0.500 0.500
```

Properties
Calculated volume (Å³/cell): 83

=====

Entry 6:
A relaxed structure of Mg2ZrZn, computed with PBE.

Structure (POSCAR):
```
Mg2ZrZn
1.0
-1.974 -2.335 0.269
0.997 -2.754 0.918
-2.055 0.870 9.970
Mg Zr Zn
2 1 1
direct
0.077 0.077 0.770
0.256 0.256 0.231
0.501 0.501 0.498
0.666 0.666 0.001
```

Properties
Calculated volume (Å³/cell): 82

=====

Entry 7:
A relaxed structure of MgZrZn3, computed with PBE.

Structure (POSCAR):
```
MgZrZn3
1.0
4.645 0.000 0.000
0.000 4.645 0.000
0.000 0.000 4.645
Zn Mg Zr
3 1 1
direct
0.000 0.500 0.000
0.000 0.000 0.500
0.500 0.000 0.000
0.000 0.000 0.000
0.500 0.500 0.500
```

Properties
Calculated volume (Å³/cell): 100

=====

Entry 8:
A relaxed structure of MgZr6Zn, computed with PBE.

Structure (POSCAR):
```
MgZr6Zn
1.0
-4.299 5.546 3.629
-3.993 -1.768 6.584
-0.204 2.082 5.173
Mg Zr Zn
1 6 1
direct
0.500 0.500 0.500
0.001 0.499 0.746
0.753 0.000 0.748
0.500 0.247 0.254
0.247 0.000 0.252
0.999 0.501 0.254
0.500 0.753 0.746
0.000 0.000 0.000
```

Properties
Calculated volume (Å³/cell): 174

=====

Number 1: magnetization 0.000 μB/atom, formation energy from the elements 0.021 eV per atom. Number 2: magnetization 0.000 μB/atom, formation energy from the elements -0.059 eV per atom. Number 3: magnetization 0.000 μB/atom, formation energy from the elements -0.207 eV per atom. Number 4: magnetization 0.000 μB/atom, formation energy from the elements -0.052 eV per atom. Number 5: magnetization 0.000 μB/atom, formation energy from the elements 0.047 eV per atom. Number 6: magnetization 0.000 μB/atom, formation energy from the elements 0.018 eV per atom. Number 7: magnetization 0.000 μB/atom, formation energy from the elements 0.610 eV per atom. Number 8: magnetization 0.000 μB/atom, formation energy from the elements -0.010 eV per atom.